# 1
Material: CsAgIBr2
Method: DFT, PBE
State: optimized geometry

```
5
Lattice="5.583 0.000 0.000 0.000 5.583 0.000 0.000 0.000 5.714" Properties=species:S:1:pos:R:3 pbc="T T T"
Cs 0.000 0.000 0.000
Ag 2.792 2.792 2.857
I 2.792 2.792 0.000
Br 0.000 2.792 2.857
Br 2.792 0.000 2.857
```

Output
Density ... 4.92 g/cm3
ΔE_f (raw) ... -826 meV/atom


# 2
Material: HoZn9Fe3
Method: DFT, PBE
State: optimized geometry

```
13
Lattice="2.522 -6.163 0.000 2.522 6.163 0.000 -2.390 0.000 6.220" Properties=species:S:1:pos:R:3 pbc="T T T"
Ho 0.000 0.000 0.000
Zn 0.190 4.026 4.119
Zn 0.094 1.387 4.838
Zn 2.465 4.026 2.101
Zn 0.094 -1.387 4.838
Zn 1.327 0.000 3.110
Zn 2.561 1.387 1.381
Zn 0.190 -4.026 4.119
Zn 2.561 -1.387 1.381
Zn 2.465 -4.026 2.101
Fe -1.195 0.000 3.110
Fe 1.261 3.082 0.000
Fe 1.261 -3.082 0.000
```

Output
Calculated formation energy ... -0.09 eV/atom
Density ... 7.91 g/cm3


# 3
Material: WSCl4
Method: DFT, PBE
State: optimized geometry

```
12
Lattice="6.642 0.000 0.000 0.904 7.938 0.000 2.967 1.554 7.904" Properties=species:S:1:pos:R:3 pbc="T T T"
W 2.065 2.520 2.239
W 8.449 6.971 5.666
S 3.074 4.267 1.638
S 7.440 5.225 6.267
Cl 0.877 1.894 0.371
Cl 2.721 2.250 4.441
Cl 3.804 6.195 4.821
Cl 3.528 0.826 1.733
Cl 6.985 8.665 6.171
Cl 6.710 3.297 3.083
Cl 7.793 7.241 3.464
Cl 9.637 7.598 7.534
```

Output
Density ... 2.85 g/cm3
ΔE_f (raw) ... -801 meV/atom


# 4
Material: Tm6Cd5Bi
Method: DFT, PBE
State: optimized geometry

```
12
Lattice="-2.649 3.651 7.950 2.649 -3.651 7.950 2.649 3.651 -7.950" Properties=species:S:1:pos:R:3 pbc="T T T"
Tm 2.649 1.812 -2.682
Tm 0.000 1.792 0.000
Tm 2.649 1.812 2.682
Tm 0.000 1.838 5.268
Tm 0.000 5.510 0.000
Tm 0.000 1.838 10.633
Cd 2.649 0.000 0.000
Cd 0.000 0.000 2.651
Cd 2.649 0.000 5.203
Cd 0.000 3.651 2.747
Cd 0.000 0.000 13.250
Bi 0.000 0.000 7.950
```

Output
Calculated formation energy ... -0.34 eV/atom
Density ... 9.63 g/cm3


# 5
Material: BaPrReO6
Method: DFT, PBE
State: optimized geometry

```
9
Lattice="5.803 0.000 0.000 -2.901 5.025 0.000 0.000 0.000 5.532" Properties=species:S:1:pos:R:3 pbc="T T T"
Ba 0.000 0.000 0.000
Pr 0.000 3.350 2.766
Re 2.901 1.675 2.766
O 2.168 0.292 3.859
O 1.337 1.732 1.673
O 3.635 0.292 1.673
O 2.070 3.002 3.859
O 4.466 1.732 3.859
O 3.733 3.002 1.673
```

Output
Density ... 5.77 g/cm3
ΔE_f (raw) ... -2399 meV/atom


# 6
Material: TiCdFeRh2
Method: DFT, PBE
State: optimized geometry

```
5
Lattice="4.461 0.000 0.000 0.000 4.461 0.000 0.000 0.000 5.114" Properties=species:S:1:pos:R:3 pbc="T T T"
Ti 0.000 0.000 0.000
Cd 0.000 0.000 2.557
Fe 2.231 2.231 2.557
Rh 0.000 2.231 0.000
Rh 2.231 0.000 0.000
```

Output
Calculated formation energy ... 0.92 eV/atom
Density ... 6.88 g/cm3


| no. | total moment (Bohr magnetons per cell) |
| --- | --- |
| 1 | 0.00 |
| 2 | 5.38 |
| 3 | 0.00 |
| 4 | 0.00 |
| 5 | 0.00 |
| 6 | 3.30 |